{
  "formula": "SrNi2Sb",
  "functional": "PBE-GGA",
  "state": "relaxed",
  "lattice_angstrom": [[3.379, 0.000, 0.000], [0.000, 3.379, 0.000], [0.000, 0.000, 7.051]],
  "species": ["Sr", "Ni", "Ni", "Sb"],
  "frac_coords": [[0.000, 0.000, 0.000], [0.000, 0.000, 0.443], [0.500, 0.500, 0.277], [0.500, 0.500, 0.626]],
  "e_tot_ev_per_atom": -4.35,
  "formation_energy_uncorrected_ev_per_atom": -0.0119,
  "space_group": "P4mm",
  "magmom_total_mub_per_cell": 0.00
}

=====

{
  "formula": "ZrTaAl2",
  "functional": "PBE-GGA",
  "state": "relaxed",
  "lattice_angstrom": [[5.371, -1.525, 0.000], [5.371, 1.525, 0.000], [-2.159, 0.000, 4.444]],
  "species": ["Zr", "Ta", "Al", "Al"],
  "frac_coords": [[0.000, 0.000, 0.000], [0.238, 0.238, 0.852], [0.495, 0.495, 0.482], [0.755, 0.755, 0.375]],
  "delta_e_f_ev_per_atom": -0.20,
  "e_tot_ev_per_atom": -7.17,
  "de_polymorph_mev_per_atom": 132,
  "space_group": "Cm",
  "magmom_total_mub_per_cell": 0.00
}

=====

{
  "formula": "LaAlCdAu6",
  "functional": "PBE-GGA",
  "state": "relaxed",
  "lattice_angstrom": [[-3.736, 4.781, 5.460], [3.736, -4.781, 5.460], [3.736, 4.781, -5.460]],
  "species": ["La", "La", "Al", "Al", "Cd", "Cd", "Au", "Au", "Au", "Au", "Au", "Au", "Au", "Au", "Au", "Au", "Au", "Au"],
  "frac_coords": [[0.468, 0.218, 0.250], [0.532, 0.782, 0.750], [0.000, 0.000, 0.000], [0.500, 0.000, 0.500], [0.000, 0.000, 0.500], [0.000, 0.500, 0.000], [0.145, 0.427, 0.320], [0.145, 0.825, 0.718], [0.185, 0.935, 0.250], [0.231, 0.481, 0.750], [0.393, 0.175, 0.820], [0.393, 0.573, 0.218], [0.607, 0.427, 0.782], [0.607, 0.825, 0.180], [0.769, 0.519, 0.250], [0.815, 0.065, 0.750], [0.855, 0.175, 0.282], [0.855, 0.573, 0.680]],
  "delta_e_f_ev_per_atom": -0.31,
  "e_tot_ev_per_atom": -3.56,
  "space_group": "Imma",
  "magmom_total_mub_per_cell": 0.00
}

=====

{
  "formula": "MnCoPt2",
  "functional": "PBE-GGA",
  "state": "relaxed",
  "lattice_angstrom": [[4.448, -1.387, 0.000], [4.448, 1.387, 0.000], [-0.886, 0.000, 4.642]],
  "species": ["Mn", "Co", "Pt", "Pt"],
  "frac_coords": [[0.000, 0.000, 0.000], [0.500, 0.500, 0.500], [0.248, 0.248, 0.745], [0.752, 0.752, 0.255]],
  "delta_e_f_ev_per_atom": -0.12,
  "e_tot_ev_per_atom": -7.21,
  "space_group": "C2/m",
  "magmom_total_mub_per_cell": 6.18
}

=====

{
  "formula": "GdTlIn2",
  "functional": "PBE-GGA",
  "state": "relaxed",
  "lattice_angstrom": [[3.933, 0.000, 0.000], [0.000, 3.933, 0.000], [0.000, 0.000, 7.083]],
  "species": ["Gd", "Tl", "In", "In"],
  "frac_coords": [[0.000, 0.000, 0.000], [0.000, 0.000, 0.500], [0.500, 0.500, 0.260], [0.500, 0.500, 0.740]],
  "delta_e_f_ev_per_atom": -0.21,
  "e_tot_ev_per_atom": -5.69,
  "de_polymorph_mev_per_atom": 159,
  "space_group": "P4/mmm",
  "magmom_total_mub_per_cell": 7.51
}

=====

{
  "formula": "TmCdNi",
  "functional": "PBE-GGA",
  "state": "relaxed",
  "lattice_angstrom": [[-1.717, 1.717, 4.973], [1.717, -1.717, 4.973], [1.717, 1.717, -4.973]],
  "species": ["Tm", "Cd", "Ni"],
  "frac_coords": [[0.000, 0.000, 0.000], [0.704, 0.704, 0.000], [0.357, 0.357, 0.000]],
  "delta_e_f_ev_per_atom": -0.28,
  "e_tot_ev_per_atom": -4.00,
  "space_group": "I4mm",
  "magmom_total_mub_per_cell": 0.00
}

=====

{
  "formula": "FeCu2Tc",
  "functional": "PBE-GGA",
  "state": "relaxed",
  "lattice_angstrom": [[4.428, -1.266, 0.000], [4.428, 1.266, 0.000], [-0.711, 0.000, 4.522]],
  "species": ["Fe", "Cu", "Cu", "Tc"],
  "frac_coords": [[0.000, 0.000, 0.000], [0.252, 0.252, 0.755], [0.748, 0.748, 0.245], [0.500, 0.500, 0.500]],
  "delta_e_f_ev_per_atom": 0.23,
  "e_tot_ev_per_atom": -6.53,
  "de_polymorph_mev_per_atom": 79,
  "space_group": "C2/m",
  "magmom_total_mub_per_cell": 2.52
}

=====

{
  "formula": "TcSbRhI2",
  "functional": "PBE-GGA",
  "state": "relaxed",
  "lattice_angstrom": [[5.458, 0.000, 0.000], [0.000, 5.458, 0.000], [0.000, 0.000, 5.075]],
  "species": ["Tc", "Sb", "Rh", "I", "I"],
  "frac_coords": [[0.000, 0.000, 0.000], [0.500, 0.500, 0.000], [0.500, 0.500, 0.500], [0.000, 0.500, 0.500], [0.500, 0.000, 0.500]],
  "e_tot_ev_per_atom": -3.99,
  "formation_energy_uncorrected_ev_per_atom": 1.0022,
  "de_polymorph_mev_per_atom": 0,
  "space_group": "P4/mmm",
  "magmom_total_mub_per_cell": 4.26
}

=====

{
  "formula": "Y2ErSn",
  "functional": "PBE-GGA",
  "state": "relaxed",
  "lattice_angstrom": [[1.757, 1.014, 11.892], [-1.757, 1.014, 11.892], [0.000, -2.028, 11.892]],
  "species": ["Y", "Y", "Er", "Sn"],
  "frac_coords": [[0.087, 0.087, 0.087], [0.913, 0.913, 0.913], [0.500, 0.500, 0.500], [0.000, 0.000, 0.000]],
  "delta_e_f_ev_per_atom": 0.05,
  "e_tot_ev_per_atom": -5.33,
  "de_polymorph_mev_per_atom": 457,
  "space_group": "R-3m",
  "magmom_total_mub_per_cell": 0.00
}

=====

{
  "formula": "GaSi2HS",
  "functional": "PBE-GGA",
  "state": "relaxed",
  "lattice_angstrom": [[6.881, -1.574, 0.000], [6.881, 1.574, 0.000], [-1.063, 0.000, 3.890]],
  "species": ["Ga", "Si", "Si", "H", "S"],
  "frac_coords": [[0.000, 0.000, 0.000], [0.437, 0.437, 0.448], [0.785, 0.785, 0.234], [0.777, 0.777, 0.855], [0.178, 0.178, 0.306]],
  "e_tot_ev_per_atom": -4.22,
  "de_polymorph_mev_per_atom": 281,
  "space_group": "Cm",
  "magmom_total_mub_per_cell": 0.00
}

=====

{
  "formula": "PaAl2Ag",
  "functional": "PBE-GGA",
  "state": "relaxed",
  "lattice_angstrom": [[1.507, 0.870, 9.821], [-1.507, 0.870, 9.821], [0.000, -1.740, 9.821]],
  "species": ["Pa", "Al", "Al", "Ag"],
  "frac_coords": [[0.000, 0.000, 0.000], [0.243, 0.243, 0.243], [0.757, 0.757, 0.757], [0.500, 0.500, 0.500]],
  "delta_e_f_ev_per_atom": -0.06,
  "e_tot_ev_per_atom": -5.01,
  "de_polymorph_mev_per_atom": 71,
  "space_group": "R-3m",
  "magmom_total_mub_per_cell": 0.00
}

=====

{
  "formula": "Si3RuCl",
  "functional": "PBE-GGA",
  "state": "relaxed",
  "lattice_angstrom": [[4.610, 0.000, 0.000], [0.000, 4.610, 0.000], [0.000, 0.000, 4.610]],
  "species": ["Si", "Si", "Si", "Ru", "Cl"],
  "frac_coords": [[0.000, 0.000, 0.500], [0.000, 0.500, 0.000], [0.500, 0.000, 0.000], [0.000, 0.000, 0.000], [0.500, 0.500, 0.500]],
  "e_tot_ev_per_atom": -5.42,
  "formation_energy_uncorrected_ev_per_atom": 0.0615,
  "de_polymorph_mev_per_atom": 0,
  "space_group": "Pm-3m",
  "magmom_total_mub_per_cell": 0.00
}